# Mg10InNi3 (PBE, relaxed)
# ΔE_f = -0.0528 eV/atom
# Fermi-level density of states = 10.95 states/eV/f.u.
data_Mg10InNi3
_cell_length_a 13.1984
_cell_length_b 13.1984
_cell_length_c 13.1984
_cell_angle_alpha 90.00
_cell_angle_beta 90.00
_cell_angle_gamma 90.00
_space_group_name_H-M_alt 'F m -3 m'
_space_group_IT_number 225
_space_group_name_Hall '-F 4 2 3'
loop_
_atom_site_label
_atom_site_type_symbol
_atom_site_fract_x
_atom_site_fract_y
_atom_site_fract_z
_atom_site_occupancy
Mg1 Mg 0.0000 0.1678 0.1678 1
Mg2 Mg 0.1170 0.1170 0.3830 1
In1 In 0.2500 0.2500 0.2500 1
Ni1 Ni 0.0000 0.0000 0.2691 1

***

# PrNdHg (PBE, relaxed)
# ΔE_f = -0.3059 eV/atom
# Fermi-level density of states = 4.12 states/eV/f.u.
data_PrNdHg
_cell_length_a 3.7889
_cell_length_b 3.7889
_cell_length_c 13.0338
_cell_angle_alpha 90.00
_cell_angle_beta 90.00
_cell_angle_gamma 90.00
_space_group_name_H-M_alt 'I 4 m m'
_space_group_IT_number 107
_space_group_name_Hall 'I 4 -2'
loop_
_atom_site_label
_atom_site_type_symbol
_atom_site_fract_x
_atom_site_fract_y
_atom_site_fract_z
_atom_site_occupancy
Pr1 Pr 0.0000 0.0000 0.0000 1
Nd1 Nd 0.0000 0.0000 0.6952 1
Hg1 Hg 0.0000 0.0000 0.3449 1

***

# SbTe2Pt (PBE, relaxed)
# formation energy from raw total energies = -90 meV/atom
# Fermi-level density of states = 1.44 states/eV/f.u.
data_SbTe2Pt
_cell_length_a 11.7468
_cell_length_b 3.9147
_cell_length_c 5.8308
_cell_angle_alpha 90.00
_cell_angle_beta 117.98
_cell_angle_gamma 90.00
_space_group_name_H-M_alt 'C 1 m 1'
_space_group_IT_number 8
loop_
_space_group_symop_operation_xyz
'x,y,z'
'x,-y,z'
'x+1/2,y+1/2,z'
'x+1/2,-y+1/2,z'
loop_
_atom_site_label
_atom_site_type_symbol
_atom_site_fract_x
_atom_site_fract_y
_atom_site_fract_z
_atom_site_occupancy
Sb1 Sb 0.0000 0.0000 0.0000 1
Te1 Te 0.1245 0.0000 0.6394 1
Te2 Te 0.3048 0.0000 0.3181 1
Pt1 Pt 0.1648 0.5000 0.9931 1

***

# BaLi2PmCl8 (PBE, relaxed)
# formation energy from raw total energies = -1837 meV/atom
# Fermi-level density of states = 13.54 states/eV/f.u.
data_BaLi2PmCl8
_cell_length_a 6.6976
_cell_length_b 6.6976
_cell_length_c 8.9026
_cell_angle_alpha 90.00
_cell_angle_beta 90.00
_cell_angle_gamma 120.00
_space_group_name_H-M_alt 'P -3'
_space_group_IT_number 147
loop_
_space_group_symop_operation_xyz
'x,y,z'
'-x,-y,-z'
'-y,x-y,z'
'y,-x+y,-z'
'-x+y,-x,z'
'x-y,x,-z'
loop_
_atom_site_label
_atom_site_type_symbol
_atom_site_fract_x
_atom_site_fract_y
_atom_site_fract_z
_atom_site_occupancy
Ba1 Ba 0.0000 0.0000 0.0000 1
Li1 Li 0.3333 0.6667 0.7449 1
Pm1 Pm 0.0000 0.0000 0.5000 1
Cl1 Cl 0.0021 0.3082 0.6998 1
Cl2 Cl 0.3333 0.6667 0.0072 1

***

# TaMo3 (PBE, relaxed)
# ΔE_f = -0.0731 eV/atom
# Fermi-level density of states = 2.62 states/eV/f.u.
data_TaMo3
_cell_length_a 3.1973
_cell_length_b 4.5607
_cell_length_c 17.9449
_cell_angle_alpha 90.00
_cell_angle_beta 90.00
_cell_angle_gamma 90.00
_space_group_name_H-M_alt 'C m m e'
_space_group_IT_number 67
_space_group_name_Hall '-C 2a 2'
loop_
_atom_site_label
_atom_site_type_symbol
_atom_site_fract_x
_atom_site_fract_y
_atom_site_fract_z
_atom_site_occupancy
Ta1 Ta 0.0000 0.2500 0.1886 1
Mo1 Mo 0.0000 0.2500 0.4387 1
Mo2 Mo 0.0000 0.2500 0.6840 1
Mo3 Mo 0.0000 0.2500 0.9392 1

***

# Ho12In6Sn (PBE, relaxed)
# ΔE_f = -0.0428 eV/atom
# Fermi-level density of states = 17.95 states/eV/f.u.
data_Ho12In6Sn
_cell_length_a 13.6627
_cell_length_b 13.6627
_cell_length_c 12.1611
_cell_angle_alpha 90.00
_cell_angle_beta 90.00
_cell_angle_gamma 120.00
_space_group_name_H-M_alt 'R -3'
_space_group_IT_number 148
_space_group_name_Hall '-R 3'
loop_
_atom_site_label
_atom_site_type_symbol
_atom_site_fract_x
_atom_site_fract_y
_atom_site_fract_z
_atom_site_occupancy
Ho1 Ho 0.0379 0.2139 0.3883 1
Ho2 Ho 0.0493 0.2192 0.8913 1
In1 In 0.0499 0.2619 0.6476 1
Sn1 Sn 0.0000 0.0000 0.0000 1